No. 1
YNiPt: relaxed, GGA-PBE.

Crystal system: cubic
ρ in g/cm³: 8.766
Calculated formation energy in eV per atom: -0.1104
SG: F-43m (216)

a b c (Å): 4.5112 4.5112 4.5112
angles (deg): 60.00 60.00 60.00
Fractional coordinates of all 3 atoms:
Pt 0.5000 0.5000 0.5000
Y 0.7500 0.7500 0.7500
Ni 0.0000 0.0000 0.0000

No. 2
YNi3Pt: relaxed, GGA-PBE.

Crystal system: orthorhombic
ρ in g/cm³: 9.950
Polymorph energy (0 for the lowest one) in meV per atom: 0
Calculated formation energy in eV per atom: -0.4148
SG: Imma (74)

a b c (Å): 4.7974 9.1510 6.2389
angles (deg): 137.17 112.61 90.00
Last column: magnetic moment on the atom in μB.
Fractional coordinates of all 10 atoms:
Ni 0.6982 0.6982 0.8964  0.29
Pt 0.5000 0.0000 0.0000  0.04
Ni 0.1982 0.6982 0.8964  0.29
Y 0.7500 0.7507 0.5000  -0.04
Ni 0.2500 0.9506 0.5000  0.30
Ni 0.8018 0.3018 0.1036  0.29
Pt 0.0000 0.5000 0.0000  0.04
Ni 0.7500 0.0494 0.5000  0.30
Ni 0.3018 0.3018 0.1036  0.29
Y 0.2500 0.2493 0.5000  -0.04

No. 3
Y2Ni15Pt2: relaxed, GGA-PBE.

Crystal system: trigonal
ρ in g/cm³: 9.635
Calculated formation energy in eV per atom: -0.2412
SG: R-3m (166)

a b c (Å): 6.3384 6.3384 6.3384
angles (deg): 83.17 83.17 83.17
Last column: magnetic moment on the atom in μB.
Fractional coordinates of all 19 atoms:
Ni 0.6515 0.6515 0.1592  0.49
Ni 0.2961 0.0000 0.7039  0.48
Pt 0.1086 0.1086 0.1086  0.14
Ni 0.0000 0.0000 0.5000  0.52
Y 0.6559 0.6559 0.6559  -0.07
Ni 0.3485 0.8408 0.3485  0.49
Ni 0.2961 0.7039 0.0000  0.48
Ni 0.3485 0.3485 0.8408  0.49
Pt 0.8914 0.8914 0.8914  0.14
Ni 0.0000 0.7039 0.2961  0.48
Ni 0.0000 0.5000 0.0000  0.52
Ni 0.1592 0.6515 0.6515  0.49
Ni 0.8408 0.3485 0.3485  0.49
Ni 0.7039 0.2961 0.0000  0.48
Ni 0.5000 0.0000 0.0000  0.52
Ni 0.6515 0.1592 0.6515  0.49
Y 0.3441 0.3441 0.3441  -0.07
Ni 0.0000 0.2961 0.7039  0.48
Ni 0.7039 0.0000 0.2961  0.48

No. 4
Y8NiPt2: relaxed, GGA-PBE.

Crystal system: monoclinic
ρ in g/cm³: 6.314
Calculated formation energy in eV per atom: -0.4392
SG: Cm (8)

a b c (Å): 6.1330 7.5209 7.5209
angles (deg): 111.09 100.89 100.89
Fractional coordinates of all 11 atoms:
Y 0.5878 0.3446 0.0825
Y 0.5878 0.0825 0.3446
Pt 0.4831 0.6896 0.3232
Y 0.1697 0.3567 0.3567
Pt 0.4831 0.3232 0.6896
Y 0.9863 0.7919 0.2048
Y 0.3639 0.9269 0.6641
Y 0.3639 0.6641 0.9269
Y 0.8023 0.6465 0.6465
Y 0.9863 0.2048 0.7919
Ni 0.1853 0.0031 0.0031

Look up the ρ of the third one.
9.635 g/cm³